Record 1
Computed, not measured: a relaxed structure of GdMgPdPt at the PBE level of DFT.

Results
Calculated volume = 78.06 Å³/cell
Magnetic moment = 1.77 μB per atom
ΔE_f = -0.8979 eV per atom
Density = 10.28 g/cm³

Geometry as extended XYZ:
```
4
Lattice="-3.0831 1.9695 -3.1028 0.8802 -0.2023 -4.7113 -2.6813 -2.8025 -2.8228" Properties=species:S:1:pos:R:3 pbc="T T T"
Gd -1.2210 -0.2588 -2.6592
Mg -3.6631 -0.7765 -7.9777
Pt -2.4421 -0.5177 -5.3185
Pd 0.0000 0.0000 0.0000
```

***

Record 2
Computed, not measured: a relaxed structure of YN at the PBE level of DFT.

Results
Calculated volume = 240.07 Å³/cell
Magnetic moment = 0.00 μB per atom
Energy relative to the elements, uncorrected = -1.26 eV/atom
Density = 4.27 g/cm³

Geometry as extended XYZ:
```
12
Lattice="3.4439 0.0000 0.0000 0.0000 10.7558 0.0000 0.0000 0.0000 6.4810" Properties=species:S:1:pos:R:3 pbc="T T T"
N 0.0000 0.0000 2.7668
N 0.0000 5.3779 6.0073
Y 1.7220 5.3779 0.8972
Y 0.0000 8.5423 2.2873
Y 0.0000 3.1644 5.5278
N 1.7220 2.3737 3.9885
N 1.7220 3.0042 0.7480
Y 0.0000 7.5914 5.5278
N 1.7220 7.7516 0.7480
N 1.7220 8.3821 3.9885
Y 0.0000 2.2135 2.2873
Y 1.7220 0.0000 4.1377
```

***

Record 3
Computed, not measured: a relaxed structure of Ac12Tl3Si5 at the PBE level of DFT.

Results
Calculated volume = 3389.20 Å³/cell
Magnetic moment = 0.01 μB per atom
Energy relative to the elements, uncorrected = -0.11 eV/atom
Density = 6.82 g/cm³

Geometry as extended XYZ:
```
80
Lattice="-7.8871 14.2776 -1.6030 -5.8710 -8.0539 13.0112 16.0127 2.8079 2.0815" Properties=species:S:1:pos:R:3 pbc="T T T"
Ac -3.5251 6.3541 2.1852
Tl -2.6239 1.0224 8.0513
Si -2.4238 3.6916 2.9119
Ac 1.9349 4.5494 9.7545
Ac -3.1192 2.5384 11.3031
Ac 3.4871 -2.4468 10.2244
Ac -5.1905 11.4685 3.9334
Ac 3.9545 4.5794 5.4355
Tl -1.0445 5.4159 11.4835
Ac 1.7153 0.4841 2.5563
Si 5.0709 -2.6230 7.5464
Ac 0.9080 1.4744 7.3877
Ac -0.0833 -5.0509 12.5580
Si -3.5799 6.7274 7.7103
Ac -3.4103 7.9425 10.4167
Ac 0.5393 8.5474 10.9334
Ac -1.2325 11.4783 3.2653
Ac 8.4816 7.6712 5.2919
Ac 1.7075 6.5264 0.5528
Ac 5.3738 6.4932 2.1866
Si -6.0634 2.5783 10.9033
Ac -0.6136 -0.5057 10.5495
Ac 2.3379 14.0825 0.9318
Ac 10.4694 -0.4383 7.0702
Si 1.6390 12.2343 3.1511
Si 5.8346 2.3041 5.7794
Si 1.1273 4.5158 6.7449
Ac 3.9929 -0.1641 13.5056
Ac 5.7797 2.6774 11.3045
Ac 8.5786 3.0890 6.6064
Tl -0.3924 7.9630 3.0315
Tl 3.2991 3.6156 2.0062
Ac 0.5471 2.5052 12.9369
Tl 4.8785 8.0092 5.4385
Ac -8.2148 9.4699 6.4195
Tl 8.3700 0.9926 9.5526
Tl 5.8865 -3.1565 12.7456
Ac -1.7382 9.1957 -0.0159
Si 4.6785 5.3400 10.5779
Ac 6.2560 14.8178 1.5149
Tl -9.3029 6.8034 8.6159
Si -6.8791 3.1118 5.7041
Si 8.0064 1.4039 1.0408
Ac 13.4911 4.4888 2.8077
Si -2.9355 -4.0269 6.5056
Tl 2.6471 1.0686 10.4582
Ac -7.2981 5.2727 11.1169
Ac -1.6999 4.4522 8.0542
Ac -11.2365 4.5428 10.6820
Ac 5.1402 0.4590 8.0027
Ac 1.3467 7.5572 6.1020
Si 8.3180 6.4533 2.5864
Ac -4.0014 -5.7863 11.9748
Ac -2.8856 8.5726 5.4870
Ac -6.3240 5.9425 6.8833
Ac 2.8682 9.5372 2.9402
Si 7.3619 12.1583 2.2455
Tl -6.1154 8.0389 3.9371
Si -3.9436 7.1388 -0.8015
Si 0.0000 0.0000 0.0000
Si 0.8157 -0.5335 5.1992
Ac 9.5528 3.7589 2.3728
Ac 0.3197 4.4822 3.7352
Si 1.4390 9.5651 8.2905
Si -5.1073 -3.1268 11.2442
Ac -2.0572 -1.2836 5.3164
Tl -3.6319 12.1881 0.7441
Ac -3.9682 2.2492 5.0009
Ac 6.2229 6.7824 8.4888
Ac 6.4684 11.1377 4.8893
Ac -6.2270 1.3604 8.1978
Tl 11.5575 2.2281 4.8738
Ac 5.6649 1.0891 3.0730
Ac -5.7075 9.3108 0.5705
Ac -4.2137 -2.1062 8.6004
Ac 4.3118 10.3152 8.1733
Si 0.6156 -3.2028 10.3386
Si 4.0628 8.5427 0.2393
Ac 7.9622 -0.2792 12.9192
Ac 7.4451 -2.4369 9.5563
```

***

Record 4
Computed, not measured: a relaxed structure of NdPa2MnN4 at the PBE level of DFT.

Results
Calculated volume = 229.29 Å³/cell
Magnetic moment = 0.09 μB per atom
Energy relative to the elements, uncorrected = -1.30 eV/atom
Density = 10.39 g/cm³

Geometry as extended XYZ:
```
16
Lattice="3.3984 0.0000 0.0000 -1.6992 5.8682 0.0000 0.0000 0.0000 11.4977" Properties=species:S:1:pos:R:3 pbc="T T T"
N 0.0000 5.1926 8.6233
Pa 0.0000 4.3124 6.4125
Pa 1.6992 1.5557 5.0852
Nd 1.6992 4.6528 2.8744
Pa 0.0000 4.3124 10.8341
N 1.6992 2.7039 7.1162
N 1.6992 0.6755 2.8744
N 1.6992 2.7039 10.1303
N 0.0000 3.1643 4.3815
Mn 1.6992 4.0096 8.6233
Mn 0.0000 1.8585 2.8744
N 0.0000 0.0000 0.0000
N 0.0000 0.0000 5.7489
N 0.0000 3.1643 1.3674
Pa 1.6992 1.5557 0.6636
Nd 0.0000 1.2153 8.6233
```